No. 1
Material: Ca3TbPm3Te8
Method: DFT, PBE
State: relaxed

## Properties
volume = 33.7 Å³/atom
formation energy without anion corrections = -1516 meV/atom
E = -4.85 eV per atom

a = 9.001 Å, b = 9.001 Å, c = 9.001 Å
α = 59.14°, β = 59.14°, γ = 59.14°
Fractional coordinates of all 15 atoms:
Ca 0.000 0.500 0.500
Ca 0.500 0.000 0.500
Ca 0.500 0.500 0.000
Tb 0.500 0.500 0.500
Pm 0.000 0.000 0.500
Pm 0.000 0.500 0.000
Pm 0.500 0.000 0.000
Te 0.251 0.251 0.251
Te 0.251 0.251 0.749
Te 0.251 0.749 0.251
Te 0.251 0.749 0.749
Te 0.749 0.251 0.251
Te 0.749 0.251 0.749
Te 0.749 0.749 0.251
Te 0.749 0.749 0.749

No. 2
Material: Ca4Tb3PmTe8
Method: DFT, PBE
State: relaxed

## Properties
volume = 31.0 Å³/atom
formation energy without anion corrections = -1476 meV/atom
E = -4.71 eV per atom

a = 8.961 Å, b = 8.961 Å, c = 8.961 Å
α = 58.95°, β = 58.95°, γ = 58.95°
Fractional coordinates of all 16 atoms:
Ca 0.000 0.000 0.000
Ca 0.000 0.500 0.500
Ca 0.500 0.000 0.500
Ca 0.500 0.500 0.000
Tb 0.000 0.000 0.500
Tb 0.000 0.500 0.000
Tb 0.500 0.000 0.000
Pm 0.500 0.500 0.500
Te 0.246 0.751 0.751
Te 0.249 0.249 0.249
Te 0.249 0.249 0.754
Te 0.249 0.754 0.249
Te 0.751 0.246 0.751
Te 0.751 0.751 0.246
Te 0.751 0.751 0.751
Te 0.754 0.249 0.249

- Among the records above, which one has the lowest volume?
  Ca4Tb3PmTe8